An optimized crystal structure of Ca2DyTl4. Source: Alexandria, functional PBE-GGA.

- Fermi-level density of states: 0.389 states/eV/atom
- DFT total energy: -2.869 eV per atom

a = 6.557 Å, b = 6.557 Å, c = 6.557 Å
α = 110.51°, β = 110.51°, γ = 107.42°
Fractional positions:
Ca 0.000 0.500 0.500
Ca 0.500 0.000 0.500
Dy 0.000 0.000 0.000
Tl 0.000 0.000 0.500
Tl 0.000 0.500 0.000
Tl 0.500 0.000 0.000
Tl 0.500 0.500 0.500



An optimized crystal structure of Cu3Sn. Source: Alexandria, functional PBE-GGA.

- Fermi-level density of states: 0.643 states/eV/atom
- DFT total energy: -4.010 eV per atom

a = 4.357 Å, b = 4.357 Å, c = 4.357 Å
α = 60.00°, β = 60.00°, γ = 60.00°
Fractional positions:
Cu 0.000 0.000 0.000
Cu 0.250 0.250 0.250
Cu 0.750 0.750 0.750
Sn 0.500 0.500 0.500



An optimized crystal structure of KPbI3. Source: Alexandria, functional PBE-GGA.

- Formation energy from raw total energies: -0.887 eV/atom
- Fermi-level density of states: 0.000 states/eV/atom

a = 6.348 Å, b = 6.348 Å, c = 6.348 Å
α = 90.00°, β = 90.00°, γ = 90.00°
Fractional positions:
K 0.000 0.000 0.000
Pb 0.500 0.500 0.500
I 0.000 0.500 0.500
I 0.500 0.000 0.500
I 0.500 0.500 0.000



An optimized crystal structure of CuGePb2S5. Source: Alexandria, functional PBE-GGA.

- Formation energy from raw total energies: -0.305 eV/atom
- Fermi-level density of states: 0.456 states/eV/atom

a = 9.543 Å, b = 9.543 Å, c = 11.999 Å
α = 90.00°, β = 90.00°, γ = 157.89°
Fractional positions:
Cu 0.206 0.794 0.500
Cu 0.794 0.206 0.000
Ge 0.445 0.555 0.903
Ge 0.555 0.445 0.403
Pb 0.123 0.877 0.787
Pb 0.144 0.856 0.139
Pb 0.856 0.144 0.639
Pb 0.877 0.123 0.287
S 0.024 0.976 0.510
S 0.296 0.704 0.131
S 0.326 0.674 0.873
S 0.335 0.665 0.467
S 0.499 0.501 0.242
S 0.501 0.499 0.742
S 0.665 0.335 0.967
S 0.674 0.326 0.373
S 0.704 0.296 0.631
S 0.976 0.024 0.010



An optimized crystal structure of CsRb3Cu4I12. Source: Alexandria, functional PBE-GGA.

- Formation energy from raw total energies: -0.611 eV/atom
- Fermi-level density of states: 0.342 states/eV/atom

a = 10.601 Å, b = 10.601 Å, c = 10.601 Å
α = 97.87°, β = 97.87°, γ = 97.87°
Fractional positions:
Cs 0.000 0.000 0.000
Rb 0.000 0.512 0.488
Rb 0.488 0.000 0.512
Rb 0.512 0.488 0.000
Cu 0.026 0.500 0.974
Cu 0.500 0.500 0.500
Cu 0.500 0.974 0.026
Cu 0.974 0.026 0.500
I 0.045 0.179 0.360
I 0.135 0.865 0.500
I 0.179 0.360 0.045
I 0.344 0.656 0.500
I 0.360 0.045 0.179
I 0.500 0.135 0.865
I 0.500 0.344 0.656
I 0.640 0.821 0.955
I 0.656 0.500 0.344
I 0.821 0.955 0.640
I 0.865 0.500 0.135
I 0.955 0.640 0.821



An optimized crystal structure of CuSiGeCl2. Source: Alexandria, functional PBE-GGA.

- Formation energy from raw total energies: 0.505 eV/atom
- Fermi-level density of states: 0.329 states/eV/atom

a = 4.843 Å, b = 4.843 Å, c = 5.234 Å
α = 90.00°, β = 90.00°, γ = 90.00°
Fractional positions:
Cu 0.000 0.000 0.000
Si 0.500 0.500 0.000
Ge 0.500 0.500 0.500
Cl 0.000 0.500 0.500
Cl 0.500 0.000 0.500